(1)
# ThGe2Pd2Pt PBE-GGA relaxed
# Crystal system   tetragonal
# Electronic total energy   -0.2138 hartree per atom
data_ThGe2Pd2Pt
_chemical_formula_sum 'Th2 Ge4 Pd4 Pt2'
_space_group_name_H-M_alt 'I 4/m m m'
_space_group_IT_number 139
_space_group_name_Hall '-I 4 2'
_cell_length_a 3.9852
_cell_length_b 3.9852
_cell_length_c 18.5543
_cell_angle_alpha 90.00
_cell_angle_beta 90.00
_cell_angle_gamma 90.00
loop_
_atom_site_label
_atom_site_fract_x
_atom_site_fract_y
_atom_site_fract_z
Th1 0.0000 0.0000 0.0000
Ge1 0.0000 0.0000 0.1669
Pd1 0.0000 0.5000 0.2500
Pt1 0.0000 0.0000 0.5000

=====

(2)
# Th2Ge4PdPt3 PBE-GGA relaxed
# Crystal system   tetragonal
# Electronic total energy   -0.2419 hartree per atom
data_Th2Ge4PdPt3
_chemical_formula_sum 'Th2 Ge4 Pd1 Pt3'
_space_group_name_H-M_alt 'P -4 m 2'
_space_group_IT_number 115
_cell_length_a 4.3928
_cell_length_b 4.3928
_cell_length_c 10.0273
_cell_angle_alpha 90.00
_cell_angle_beta 90.00
_cell_angle_gamma 90.00
loop_
_space_group_symop_operation_xyz
'x,y,z'
'y,-x,-z'
'-x,-y,z'
'-y,x,-z'
'-x,y,z'
'-y,-x,-z'
'x,-y,z'
'y,x,-z'
loop_
_atom_site_label
_atom_site_fract_x
_atom_site_fract_y
_atom_site_fract_z
Th1 0.0000 0.5000 0.2457
Ge1 0.0000 0.0000 0.5000
Ge2 0.0000 0.5000 0.8686
Ge3 0.5000 0.5000 0.5000
Pd1 0.5000 0.5000 0.0000
Pt1 0.0000 0.0000 0.0000
Pt2 0.0000 0.5000 0.6227

=====

(3)
# ThGePdPt PBE-GGA relaxed
# Crystal system   tetragonal
# Electronic total energy   -0.2455 hartree per atom
data_ThGePdPt
_chemical_formula_sum 'Th2 Ge2 Pd2 Pt2'
_space_group_name_H-M_alt 'P 4/n m m'
_space_group_IT_number 129
_cell_length_a 4.0737
_cell_length_b 4.0737
_cell_length_c 9.8410
_cell_angle_alpha 90.00
_cell_angle_beta 90.00
_cell_angle_gamma 90.00
loop_
_space_group_symop_operation_xyz
'x,y,z'
'-x,-y,-z'
'-y+1/2,x,z'
'y+1/2,-x,-z'
'-x+1/2,-y+1/2,z'
'x+1/2,y+1/2,-z'
'y,-x+1/2,z'
'-y,x+1/2,-z'
'x+1/2,-y,-z'
'-x+1/2,y,z'
'-y,-x,-z'
'y,x,z'
'-x,y+1/2,-z'
'x,-y+1/2,z'
'y+1/2,x+1/2,-z'
'-y+1/2,-x+1/2,z'
loop_
_atom_site_label
_atom_site_fract_x
_atom_site_fract_y
_atom_site_fract_z
Th1 0.2500 0.2500 0.2168
Ge1 0.2500 0.2500 0.6495
Pd1 0.2500 0.7500 0.5000
Pt1 0.2500 0.2500 0.9121

=====

(4)
# TlGePdPt2 PBE-GGA relaxed
# Crystal system   tetragonal
# Electronic total energy   -0.1553 hartree per atom
data_TlGePdPt2
_chemical_formula_sum 'Tl1 Ge1 Pd1 Pt2'
_space_group_name_H-M_alt 'P 4/m m m'
_space_group_IT_number 123
_space_group_name_Hall '-P 4 2'
_cell_length_a 5.0878
_cell_length_b 5.0878
_cell_length_c 4.5293
_cell_angle_alpha 90.00
_cell_angle_beta 90.00
_cell_angle_gamma 90.00
loop_
_atom_site_label
_atom_site_fract_x
_atom_site_fract_y
_atom_site_fract_z
Tl1 0.0000 0.0000 0.0000
Ge1 0.5000 0.5000 0.0000
Pd1 0.5000 0.5000 0.5000
Pt1 0.0000 0.5000 0.5000

=====

(5)
# TmGePdPt PBE-GGA relaxed
# Crystal system   cubic
# Electronic total energy   -0.2166 hartree per atom
data_TmGePdPt
_chemical_formula_sum 'Tm4 Ge4 Pd4 Pt4'
_space_group_name_H-M_alt 'F -4 3 m'
_space_group_IT_number 216
_space_group_name_Hall 'F -4 2 3'
_cell_length_a 6.6002
_cell_length_b 6.6002
_cell_length_c 6.6002
_cell_angle_alpha 90.00
_cell_angle_beta 90.00
_cell_angle_gamma 90.00
loop_
_atom_site_label
_atom_site_fract_x
_atom_site_fract_y
_atom_site_fract_z
Tm1 0.0000 0.0000 0.0000
Ge1 0.0000 0.0000 0.5000
Pd1 0.2500 0.2500 0.2500
Pt1 0.2500 0.2500 0.7500

=====

(6)
# Tm2Ge4PdPt3 PBE-GGA relaxed
# Crystal system   tetragonal
# Electronic total energy   -0.2167 hartree per atom
data_Tm2Ge4PdPt3
_chemical_formula_sum 'Tm2 Ge4 Pd1 Pt3'
_space_group_name_H-M_alt 'P -4 m 2'
_space_group_IT_number 115
_cell_length_a 4.2250
_cell_length_b 4.2250
_cell_length_c 10.4080
_cell_angle_alpha 90.00
_cell_angle_beta 90.00
_cell_angle_gamma 90.00
loop_
_space_group_symop_operation_xyz
'x,y,z'
'y,-x,-z'
'-x,-y,z'
'-y,x,-z'
'-x,y,z'
'-y,-x,-z'
'x,-y,z'
'y,x,-z'
loop_
_atom_site_label
_atom_site_fract_x
_atom_site_fract_y
_atom_site_fract_z
Tm1 0.0000 0.5000 0.2419
Ge1 0.0000 0.0000 0.5000
Ge2 0.0000 0.5000 0.8670
Ge3 0.5000 0.5000 0.5000
Pd1 0.5000 0.5000 0.0000
Pt1 0.0000 0.0000 0.0000
Pt2 0.0000 0.5000 0.6349

=====

(7)
# UGePdPt PBE-GGA relaxed
# Energy above the most stable polymorph in this dataset   0.170 eV per atom
# Crystal system   cubic
data_UGePdPt
_chemical_formula_sum 'U4 Ge4 Pd4 Pt4'
_space_group_name_H-M_alt 'F -4 3 m'
_space_group_IT_number 216
_space_group_name_Hall 'F -4 2 3'
_cell_length_a 6.6849
_cell_length_b 6.6849
_cell_length_c 6.6849
_cell_angle_alpha 90.00
_cell_angle_beta 90.00
_cell_angle_gamma 90.00
loop_
_atom_site_label
_atom_site_fract_x
_atom_site_fract_y
_atom_site_fract_z
U1 0.0000 0.0000 0.0000
Ge1 0.2500 0.2500 0.2500
Pd1 0.0000 0.0000 0.5000
Pt1 0.2500 0.2500 0.7500

=====

(8)
# UGePdPt PBE-GGA relaxed
# Energy above the most stable polymorph in this dataset   0.000 eV per atom
# Crystal system   tetragonal
data_UGePdPt
_chemical_formula_sum 'U2 Ge2 Pd2 Pt2'
_space_group_name_H-M_alt 'P 4/n m m'
_space_group_IT_number 129
_cell_length_a 3.9017
_cell_length_b 3.9017
_cell_length_c 10.0382
_cell_angle_alpha 90.00
_cell_angle_beta 90.00
_cell_angle_gamma 90.00
loop_
_space_group_symop_operation_xyz
'x,y,z'
'-x,-y,-z'
'-y+1/2,x,z'
'y+1/2,-x,-z'
'-x+1/2,-y+1/2,z'
'x+1/2,y+1/2,-z'
'y,-x+1/2,z'
'-y,x+1/2,-z'
'x+1/2,-y,-z'
'-x+1/2,y,z'
'-y,-x,-z'
'y,x,z'
'-x,y+1/2,-z'
'x,-y+1/2,z'
'y+1/2,x+1/2,-z'
'-y+1/2,-x+1/2,z'
loop_
_atom_site_label
_atom_site_fract_x
_atom_site_fract_y
_atom_site_fract_z
U1 0.2500 0.2500 0.2084
Ge1 0.2500 0.2500 0.6589
Pd1 0.2500 0.7500 0.5000
Pt1 0.2500 0.2500 0.9183